VASP calculation (PBE) on an optimized crystal structure of NaYF4.

Values from the calculation:
**Energy**: -6.23 eV per atom
**E_form (uncorrected)**: -355.8 kJ per mole of atoms
**Space-group type**: I4_1/a (88)

The structure in POSCAR format:
```
NaYF4
1.0
5.496 0.038 -0.001
-0.041 5.496 0.000
-2.728 -2.768 5.414
F Y Na
8 2 2
Direct
0.769 0.499 0.999 F
0.001 0.270 0.501 F
0.770 0.000 0.001 F
0.230 0.000 0.999 F
0.231 0.501 0.001 F
0.999 0.730 0.499 F
0.500 0.731 0.501 F
0.500 0.269 0.499 F
0.875 0.625 0.750 Y
0.125 0.375 0.250 Y
0.625 0.875 0.250 Na
0.375 0.125 0.750 Na
```

VASP calculation (PBE) on an optimized crystal structure of Na3YF8.

Values from the calculation:
**Energy**: -4.82 eV per atom
**E_form (uncorrected)**: -260.9 kJ per mole of atoms
**Space-group type**: I4/mmm (139)

The structure in POSCAR format:
```
Na3YF8
1.0
-4.268 -3.256 -0.746
1.776 -3.237 3.968
-1.736 6.282 2.200
Y F Na
1 8 3
Direct
0.000 0.000 0.000 Y
0.642 0.642 0.762 F
0.121 0.642 0.762 F
0.642 0.121 0.762 F
0.121 0.121 0.762 F
0.358 0.358 0.238 F
0.879 0.358 0.238 F
0.879 0.879 0.238 F
0.358 0.879 0.238 F
0.750 0.250 0.500 Na
0.500 0.500 0.000 Na
0.250 0.750 0.500 Na
```

VASP calculation (PBE) on an optimized crystal structure of NaYF2.

Values from the calculation:
**Energy**: -5.26 eV per atom
**E_form (uncorrected)**: -229.1 kJ per mole of atoms
**Space-group type**: I-42d (122)

The structure in POSCAR format:
```
NaYF2
1.0
5.666 0.000 0.000
0.000 5.666 0.000
2.833 2.833 6.409
Y Na F
2 2 4
Direct
0.000 0.000 0.000 Y
0.750 0.250 0.500 Y
0.250 0.750 0.500 Na
0.500 0.500 0.000 Na
0.875 0.054 0.750 F
0.375 0.196 0.750 F
0.804 0.125 0.250 F
0.946 0.625 0.250 F
```

VASP calculation (PBE) on an optimized crystal structure of NaYF3.

Values from the calculation:
**Energy**: -5.24 eV per atom
**E_form (uncorrected)**: -247.2 kJ per mole of atoms
**Space-group type**: Pm-3m (221)

The structure in POSCAR format:
```
NaYF3
1.0
-1.193 -3.736 -1.232
3.360 -1.637 1.710
-2.045 -0.510 3.529
F Na Y
3 1 1
Direct
0.000 0.000 0.500 F
0.000 0.500 0.000 F
0.500 0.000 0.000 F
0.000 0.000 0.000 Na
0.500 0.500 0.500 Y
```

VASP calculation (PBE) on an optimized crystal structure of NaYF4.

Values from the calculation:
**Energy**: -6.23 eV per atom
**E_form (uncorrected)**: -355.6 kJ per mole of atoms
**Space-group type**: Pc (7)

The structure in POSCAR format:
```
NaYF4
1.0
7.159 0.000 0.000
0.000 6.056 0.007
0.000 6.064 10.458
Na F Y
6 24 6
Direct
0.747 0.335 0.167 Na
0.848 0.684 0.326 Na
0.253 0.335 0.667 Na
0.345 0.652 0.342 Na
0.152 0.684 0.826 Na
0.655 0.652 0.842 Na
0.023 0.358 0.298 F
0.019 0.049 0.178 F
0.753 0.989 0.380 F
0.751 0.967 0.878 F
0.247 0.989 0.880 F
0.981 0.595 0.524 F
0.248 0.277 0.984 F
0.476 0.351 0.297 F
0.250 0.751 0.135 F
0.750 0.751 0.635 F
0.249 0.967 0.378 F
0.977 0.358 0.798 F
0.481 0.596 0.023 F
0.750 0.762 0.131 F
0.254 0.252 0.493 F
0.519 0.596 0.523 F
0.474 0.049 0.178 F
0.981 0.049 0.678 F
0.526 0.049 0.678 F
0.752 0.277 0.484 F
0.019 0.595 0.024 F
0.250 0.762 0.631 F
0.524 0.351 0.797 F
0.746 0.252 0.993 F
0.003 0.001 0.500 Y
0.997 0.001 0.000 Y
0.248 0.334 0.165 Y
0.499 0.998 0.001 Y
0.752 0.334 0.665 Y
0.501 0.998 0.501 Y
```

VASP calculation (PBE) on an optimized crystal structure of NaYF2.

Values from the calculation:
**Energy**: -5.49 eV per atom
**E_form (uncorrected)**: -251.7 kJ per mole of atoms
**Space-group type**: R-3m (166)

The structure in POSCAR format:
```
NaYF2
1.0
5.806 2.702 2.914
6.505 -0.833 2.547
6.890 1.393 -0.284
Na Y F
1 1 2
Direct
0.500 0.500 0.500 Na
0.000 0.000 0.000 Y
0.108 0.108 0.108 F
0.892 0.892 0.892 F
```